Entry from the Alexandria database: an optimized crystal structure of InTe2 (GGA-PBE).

The distance to the lowest polymorph of the same formula comes out at 263 meV per atom.

Cell: 6.447 6.447 6.447 Å, 145.66 145.64 49.37°
Fractional coordinates of all 3 atoms:
In  0.000  0.000  0.000
Te  0.343  0.343  0.000
Te  0.657  0.657  0.000

Entry from the Alexandria database: an optimized crystal structure of InTe2 (GGA-PBE).

The distance to the lowest polymorph of the same formula comes out at 66 meV per atom.

Cell: 7.881 7.881 6.391 Å, 65.97 65.97 32.80°
Fractional coordinates of all 6 atoms:
In  0.665  0.665  0.085
Te  0.994  0.994  0.755
In  0.335  0.335  0.915
Te  0.323  0.323  0.426
Te  0.006  0.006  0.245
Te  0.677  0.677  0.574

Entry from the Alexandria database: an optimized crystal structure of InTe3 (GGA-PBE).

The value obtained for the calculated total energy is -2.887 eV per atom.

Cell: 5.436 5.436 5.436 Å, 60.00 60.00 60.00°
Fractional coordinates of all 4 atoms:
Te  0.500  0.500  0.500
Te  0.750  0.750  0.750
In  0.000  0.000  0.000
Te  0.250  0.250  0.250

Entry from the Alexandria database: an optimized crystal structure of InTe8 (GGA-PBE).

The value obtained for the calculated total energy is -2.977 eV per atom.

Cell: 7.597 7.597 7.597 Å, 106.89 106.89 114.78°
Fractional coordinates of all 9 atoms:
Te  0.665  0.000  0.665
Te  0.336  0.664  0.000
In  0.000  0.000  0.000
Te  0.335  0.000  0.335
Te  0.000  0.665  0.665
Te  0.000  0.335  0.335
Te  0.664  0.664  0.327
Te  0.664  0.336  0.000
Te  0.336  0.336  0.673

Entry from the Alexandria database: an optimized crystal structure of InTe2 (GGA-PBE).

The distance to the lowest polymorph of the same formula comes out at 184 meV per atom.

Cell: 11.829 11.829 11.829 Å, 160.32 160.32 27.97°
Fractional coordinates of all 6 atoms:
Te  0.178  0.678  0.500
Te  0.428  0.428  0.000
Te  0.322  0.822  0.500
Te  0.572  0.572  0.000
In  0.750  0.250  0.500
In  0.000  0.000  0.000

Entry from the Alexandria database: an optimized crystal structure of In2Te (GGA-PBE).

The value obtained for the calculated total energy is -2.978 eV per atom.

Cell: 11.818 11.818 11.818 Å, 160.12 160.12 28.26°
Fractional coordinates of all 6 atoms:
Te  0.750  0.250  0.500
In  0.571  0.571  0.000
In  0.321  0.821  0.500
In  0.429  0.429  0.000
In  0.179  0.679  0.500
Te  0.000  0.000  0.000

Entry from the Alexandria database: an optimized crystal structure of InTe3 (GGA-PBE).

The value obtained for the calculated total energy is -2.855 eV per atom.

Cell: 6.602 6.602 6.406 Å, 90.00 90.00 120.00°
Fractional coordinates of all 8 atoms:
Te  0.827  0.173  0.250
Te  0.345  0.173  0.250
Te  0.173  0.345  0.750
Te  0.655  0.827  0.750
Te  0.173  0.827  0.750
Te  0.827  0.655  0.250
In  0.333  0.667  0.250
In  0.667  0.333  0.750

Entry from the Alexandria database: an optimized crystal structure of InTe3 (GGA-PBE).

The value obtained for the calculated total energy is -2.961 eV per atom.

Cell: 6.372 3.134 6.295 Å, 90.07 90.00 90.00°
Fractional coordinates of all 4 atoms:
Te  0.000  0.500  0.500
Te  0.500  0.499  0.241
Te  0.500  0.501  0.759
In  0.000  0.000  0.000

Entry from the Alexandria database: an optimized crystal structure of In3Te2 (GGA-PBE).

The distance to the lowest polymorph of the same formula comes out at 0 meV per atom.

Cell: 9.710 9.710 9.710 Å, 26.39 26.39 26.39°
Fractional coordinates of all 5 atoms:
In  0.000  0.000  0.000
In  0.798  0.798  0.798
Te  0.404  0.404  0.404
In  0.202  0.202  0.202
Te  0.596  0.596  0.596

Entry from the Alexandria database: an optimized crystal structure of InTe3 (GGA-PBE).

The value obtained for the calculated total energy is -2.974 eV per atom.

Cell: 3.114 3.114 13.950 Å, 90.00 90.00 91.62°
Fractional coordinates of all 4 atoms:
In  0.000  0.000  0.000
Te  0.500  0.500  0.793
Te  0.500  0.500  0.207
Te  0.000  0.000  0.500

Entry from the Alexandria database: an optimized crystal structure of In2Te (GGA-PBE).

The value obtained for the calculated total energy is -3.027 eV per atom.

Cell: 7.149 7.149 6.650 Å, 73.76 73.76 36.21°
Fractional coordinates of all 6 atoms:
Te  0.742  0.742  0.003
In  0.095  0.095  0.921
In  0.316  0.316  0.431
In  0.408  0.408  0.915
Te  0.978  0.978  0.407
In  0.628  0.628  0.490

Entry from the Alexandria database: an optimized crystal structure of InTe2 (GGA-PBE).

The distance to the lowest polymorph of the same formula comes out at 147 meV per atom.

Cell: 11.205 11.205 4.311 Å, 90.00 90.00 159.15°
Fractional coordinates of all 6 atoms:
Te  0.068  0.932  0.250
In  0.612  0.388  0.750
Te  0.229  0.771  0.750
Te  0.771  0.229  0.250
In  0.388  0.612  0.250
Te  0.932  0.068  0.750

Entry from the Alexandria database: an optimized crystal structure of In2Te5 (GGA-PBE).

The value obtained for the calculated total energy is -3.255 eV per atom.

Cell: 8.833 8.833 43.029 Å, 79.79 79.79 28.70°
Fractional coordinates of all 42 atoms:
In  0.358  0.375  0.110
In  0.001  0.019  0.057
In  0.375  0.358  0.610
Te  0.971  0.953  0.625
Te  0.302  0.322  0.417
Te  0.047  0.029  0.875
In  0.271  0.325  0.277
In  0.675  0.729  0.223
In  0.999  0.981  0.943
Te  0.582  0.537  0.701
Te  0.678  0.698  0.083
Te  0.423  0.406  0.541
Te  0.339  0.286  0.709
Te  0.029  0.047  0.375
Te  0.286  0.339  0.209
Te  0.166  0.180  0.034
Te  0.804  0.790  0.869
Te  0.406  0.423  0.041
In  0.325  0.271  0.777
Te  0.594  0.577  0.959
Te  0.031  0.969  0.750
Te  0.418  0.463  0.299
Te  0.577  0.594  0.459
In  0.642  0.625  0.890
Te  0.463  0.418  0.799
Te  0.210  0.196  0.631
Te  0.969  0.031  0.250
Te  0.180  0.166  0.534
Te  0.698  0.678  0.583
Te  0.714  0.661  0.791
Te  0.537  0.582  0.201
Te  0.322  0.302  0.917
In  0.981  0.999  0.443
Te  0.661  0.714  0.291
In  0.625  0.642  0.390
Te  0.820  0.834  0.466
Te  0.196  0.210  0.131
In  0.729  0.675  0.723
Te  0.790  0.804  0.369
In  0.019  0.001  0.557
Te  0.834  0.820  0.966
Te  0.953  0.971  0.125

Entry from the Alexandria database: an optimized crystal structure of InTe2 (GGA-PBE).

The distance to the lowest polymorph of the same formula comes out at 105 meV per atom.

Cell: 7.204 7.204 7.780 Å, 58.16 58.16 35.86°
Fractional coordinates of all 6 atoms:
In  0.055  0.055  0.879
Te  0.877  0.877  0.742
Te  0.722  0.722  0.556
Te  0.222  0.222  0.056
Te  0.567  0.567  0.369
In  0.390  0.390  0.232

Entry from the Alexandria database: an optimized crystal structure of In5Te8 (GGA-PBE).

The value obtained for the calculated total energy is -3.185 eV per atom.

Cell: 8.620 8.620 8.620 Å, 60.00 60.00 60.00°
Fractional coordinates of all 13 atoms:
In  0.363  0.363  0.911
Te  0.614  0.614  0.157
Te  0.614  0.614  0.614
In  0.911  0.363  0.363
In  0.363  0.363  0.363
In  0.750  0.750  0.750
Te  0.614  0.157  0.614
Te  0.157  0.614  0.614
Te  0.632  0.123  0.123
Te  0.123  0.123  0.632
Te  0.123  0.632  0.123
Te  0.123  0.123  0.123
In  0.363  0.911  0.363

Entry from the Alexandria database: an optimized crystal structure of Th2In2Te7 (GGA-PBE).

The value obtained for the calculated total energy is -4.413 eV per atom.

Cell: 7.538 8.031 8.031 Å, 101.17 97.64 97.64°
Fractional coordinates of all 11 atoms:
Th  0.000  0.302  0.698
Te  0.772  0.534  0.932
Te  0.772  0.932  0.534
Th  0.000  0.698  0.302
Te  0.500  0.000  0.000
In  0.396  0.242  0.242
Te  0.228  0.068  0.466
Te  0.246  0.585  0.585
Te  0.228  0.466  0.068
In  0.604  0.758  0.758
Te  0.754  0.415  0.415

Entry from the Alexandria database: an optimized crystal structure of ThIn2Te6 (GGA-PBE).

The value obtained for the calculated total energy is -3.976 eV per atom.

Cell: 8.060 9.597 9.597 Å, 86.46 78.02 78.02°
Fractional coordinates of all 18 atoms:
In  0.318  0.212  0.409
Te  0.086  0.479  0.347
Te  0.152  0.800  0.991
In  0.818  0.409  0.212
In  0.682  0.788  0.591
Te  0.848  0.200  0.009
Te  0.914  0.521  0.653
Te  0.196  0.014  0.614
Te  0.652  0.991  0.800
Te  0.304  0.386  0.986
Te  0.586  0.347  0.479
Th  0.750  0.902  0.098
Te  0.414  0.653  0.521
In  0.182  0.591  0.788
Te  0.348  0.009  0.200
Th  0.250  0.098  0.902
Te  0.804  0.986  0.386
Te  0.696  0.614  0.014

Entry from the Alexandria database: an optimized crystal structure of Th4InTe3 (GGA-PBE).

The value obtained for the calculated total energy is -6.093 eV per atom.

Cell: 3.794 3.794 16.025 Å, 90.00 90.00 90.00°
Fractional coordinates of all 8 atoms:
Th  0.000  0.000  0.378
Te  0.500  0.500  0.742
Th  0.000  0.000  0.868
Th  0.000  0.000  0.622
In  0.500  0.500  0.000
Te  0.500  0.500  0.258
Th  0.000  0.000  0.132
Te  0.500  0.500  0.500

Entry from the Alexandria database: an optimized crystal structure of Th3InTe6 (GGA-PBE).

The value obtained for the calculated total energy is -5.350 eV per atom.

Cell: 4.479 13.872 13.311 Å, 108.16 90.00 90.00°
Each line ends with the local moment (μB).
Fractional coordinates of all 20 atoms:
Te  0.250  0.813  0.437  0.00
Th  0.250  0.274  0.729  0.05
Te  0.750  0.365  0.899  0.00
Te  0.250  0.860  0.950  0.00
Te  0.750  0.187  0.563  0.00
Te  0.250  0.474  0.661  -0.01
Te  0.250  0.635  0.101  0.00
Th  0.750  0.375  0.480  0.30
Te  0.750  0.140  0.050  0.00
Te  0.750  0.526  0.339  -0.01
Th  0.250  0.047  0.157  0.01
Te  0.750  0.738  0.677  0.01
In  0.750  0.601  0.890  0.00
Th  0.250  0.625  0.520  0.30
Te  0.250  0.050  0.743  0.00
Th  0.750  0.953  0.843  0.01
Th  0.750  0.726  0.271  0.05
In  0.250  0.399  0.110  0.00
Te  0.250  0.262  0.323  0.01
Te  0.750  0.950  0.257  0.00

Entry from the Alexandria database: an optimized crystal structure of Th4InTe5 (GGA-PBE).

The value obtained for the calculated total energy is -5.734 eV per atom.

Cell: 4.486 8.983 9.991 Å, 103.08 102.97 90.00°
Fractional coordinates of all 10 atoms:
Te  0.833  0.164  0.666
Th  0.666  0.094  0.333
Te  0.832  0.663  0.664
Th  0.998  0.750  0.996
In  0.500  0.000  0.000
Th  0.002  0.250  0.004
Te  0.168  0.337  0.336
Te  0.167  0.836  0.334
Th  0.334  0.906  0.667
Te  0.500  0.500  0.000

Entry from the Alexandria database: an optimized crystal structure of Th2InTe4 (GGA-PBE).

The value obtained for the calculated total energy is -5.118 eV per atom.

Cell: 6.579 6.579 6.579 Å, 111.00 111.00 106.45°
Fractional coordinates of all 7 atoms:
Te  0.786  0.786  0.500
Te  0.785  0.286  0.000
Th  0.786  0.286  0.500
Th  0.286  0.786  0.500
Te  0.286  0.785  0.000
In  0.786  0.786  0.000
Te  0.286  0.286  0.500

Entry from the Alexandria database: an optimized crystal structure of ThIn7Te6 (GGA-PBE).

The value obtained for the calculated total energy is -3.616 eV per atom.

Cell: 9.187 9.187 8.594 Å, 57.68 57.69 60.00°
Fractional coordinates of all 14 atoms:
In  0.027  0.736  0.713
Te  0.241  0.816  0.263
Te  0.159  0.319  0.761
Te  0.680  0.241  0.264
Te  0.816  0.680  0.264
Te  0.761  0.159  0.761
In  0.455  0.018  0.283
Te  0.319  0.761  0.761
In  0.523  0.027  0.713
In  0.658  0.658  0.027
In  0.736  0.524  0.713
In  0.244  0.455  0.283
In  0.018  0.244  0.283
Th  0.998  0.998  0.005

In order of appearance, volume = 28.31, 32.45, 28.40, 37.26, 31.27, 31.79, 30.23, 31.42, 31.88, 33.80, 31.98, 32.10, 37.74, 32.81, 34.84, 42.40, 39.45, 28.83, 39.29, 38.16, 31.26, 35.30 A^3/atom.
In order of appearance, M_tot = 0.00, 0.00, 0.00, 0.00, 0.00, 0.00, 0.00, 0.00, 0.00, 0.00, 0.00, 0.00, 0.00, 0.00, 0.00, 0.00, 0.00, 0.00, 0.77, 0.00, 0.00, 0.00 μB/f.u..